The following is a DFT calculation (GGA-PBE) of an optimized crystal structure of Nd8Er2Mg.

Summary:
VASP energy = -4.30 eV per atom
DOS(E_F) = 17.23 states/eV per cell
total moment = 0.00 Bohr magnetons per cell
E above lowest polymorph = 135.0 meV/atom

Unit cell a=5.5030 b=10.4623 c=8.4674 alpha=51.86 beta=89.96 gamma=89.94
Fractional coordinates of all 11 atoms:
1 Nd 0.5008 0.6949 0.2758
2 Nd 0.5006 0.9704 0.7245
3 Nd 0.0000 0.6605 0.0000
4 Nd 0.0001 0.7443 0.5060
5 Nd 0.9999 0.2499 0.4940
6 Nd 0.0000 0.3332 0.0000
7 Nd 0.4994 0.0236 0.2755
8 Nd 0.4992 0.2990 0.7244
9 Er 0.4999 0.3766 0.2409
10 Er 0.5001 0.6173 0.7592
11 Mg 0.0000 0.9964 0.9999